LiCr2S4: relaxed, PBE-GGA. Values from VASP.

Structure (Quantum ESPRESSO input):
```
&SYSTEM
  ibrav = 0, nat = 28, ntyp = 3
/
ATOMIC_SPECIES
Li 6.94 Li.upf
Cr 52.00 Cr.upf
S 32.06 S.upf
CELL_PARAMETERS angstrom
3.474 0.000 0.000
0.000 10.844 0.000
0.000 0.000 12.381
ATOMIC_POSITIONS crystal
Li 0.250 0.738 0.823
Li 0.750 0.262 0.177
Li 0.750 0.762 0.323
Li 0.250 0.238 0.677
Cr 0.250 0.553 0.616
Cr 0.750 0.447 0.384
Cr 0.750 0.947 0.116
Cr 0.250 0.053 0.884
Cr 0.250 0.592 0.096
Cr 0.750 0.408 0.904
Cr 0.750 0.908 0.596
Cr 0.250 0.092 0.404
S 0.750 0.539 0.212
S 0.250 0.461 0.788
S 0.250 0.961 0.712
S 0.750 0.039 0.288
S 0.250 0.589 0.429
S 0.750 0.411 0.571
S 0.750 0.911 0.929
S 0.250 0.089 0.071
S 0.750 0.620 0.967
S 0.250 0.380 0.033
S 0.250 0.880 0.467
S 0.750 0.120 0.533
S 0.750 0.697 0.660
S 0.250 0.303 0.340
S 0.250 0.803 0.160
S 0.750 0.197 0.840
```

Calculated values
Magnetization, μB/f.u.: 4.995
Energy relative to the elements, uncorrected, eV/atom: -0.759
E, eV/atom: -6.14
Space-group type: Pnma (62)


LiCr2S4: relaxed, PBE-GGA. Values from VASP.

Structure (Quantum ESPRESSO input):
```
&SYSTEM
  ibrav = 0, nat = 7, ntyp = 3
/
ATOMIC_SPECIES
Li 6.94 Li.upf
Cr 52.00 Cr.upf
S 32.06 S.upf
CELL_PARAMETERS angstrom
6.934 0.012 -0.046
6.249 3.005 -0.046
1.910 0.437 5.243
ATOMIC_POSITIONS crystal
Li 0.500 0.500 0.500
Cr 0.755 0.755 0.194
Cr 0.245 0.245 0.806
S 0.375 0.375 0.968
S 0.625 0.625 0.032
S 0.847 0.847 0.493
S 0.153 0.153 0.507
```

Calculated values
Magnetization, μB/f.u.: 0.000
Energy relative to the elements, uncorrected, eV/atom: -0.780
E, eV/atom: -6.16
Space-group type: C2/m (12)


LiCr2S4: relaxed, PBE-GGA. Values from VASP.

Structure (Quantum ESPRESSO input):
```
&SYSTEM
  ibrav = 0, nat = 28, ntyp = 3
/
ATOMIC_SPECIES
Li 6.94 Li.upf
Cr 52.00 Cr.upf
S 32.06 S.upf
CELL_PARAMETERS angstrom
-1.383 -2.638 -1.738
10.029 -5.038 -0.333
-2.428 -5.513 10.300
ATOMIC_POSITIONS crystal
Li 0.750 0.130 0.417
Li 0.250 0.870 0.583
Li 0.250 0.370 0.917
Li 0.750 0.630 0.083
Cr 0.250 0.109 0.076
Cr 0.750 0.891 0.924
Cr 0.750 0.391 0.576
Cr 0.250 0.609 0.424
Cr 0.250 0.147 0.704
Cr 0.750 0.853 0.296
Cr 0.750 0.353 0.204
Cr 0.250 0.647 0.796
S 0.750 0.035 0.628
S 0.250 0.965 0.372
S 0.250 0.465 0.128
S 0.750 0.535 0.872
S 0.250 0.033 0.882
S 0.750 0.967 0.118
S 0.750 0.467 0.382
S 0.250 0.533 0.618
S 0.250 0.212 0.251
S 0.750 0.788 0.749
S 0.750 0.288 0.751
S 0.250 0.712 0.249
S 0.750 0.244 0.031
S 0.250 0.756 0.969
S 0.250 0.256 0.531
S 0.750 0.744 0.469
```

Calculated values
Magnetization, μB/f.u.: 4.995
Energy relative to the elements, uncorrected, eV/atom: -0.751
E, eV/atom: -6.13
Space-group type: Pnma (62)


LiCr3S: relaxed, PBE-GGA. Values from VASP.

Structure (Quantum ESPRESSO input):
```
&SYSTEM
  ibrav = 0, nat = 5, ntyp = 3
/
ATOMIC_SPECIES
Cr 52.00 Cr.upf
S 32.06 S.upf
Li 6.94 Li.upf
CELL_PARAMETERS angstrom
-0.054 -1.791 3.828
2.701 -2.959 -1.346
3.250 2.430 1.182
ATOMIC_POSITIONS crystal
Cr 0.000 0.500 0.000
Cr 0.000 0.000 0.500
Cr 0.500 0.000 0.000
S 0.500 0.500 0.500
Li 0.000 0.000 0.000
```

Calculated values
Magnetization, μB/f.u.: 8.986
Energy relative to the elements, uncorrected, eV/atom: 1.416
E, eV/atom: -5.57
Space-group type: Pm-3m (221)


LiCr2S4: relaxed, PBE-GGA. Values from VASP.

Structure (Quantum ESPRESSO input):
```
&SYSTEM
  ibrav = 0, nat = 14, ntyp = 3
/
ATOMIC_SPECIES
Li 6.94 Li.upf
Cr 52.00 Cr.upf
S 32.06 S.upf
CELL_PARAMETERS angstrom
3.022 -2.448 5.892
-1.811 5.917 3.399
-4.928 -3.830 -3.300
ATOMIC_POSITIONS crystal
Li 0.750 0.250 0.500
Li 0.000 0.000 0.000
Cr 0.375 0.625 0.750
Cr 0.375 0.125 0.750
Cr 0.875 0.625 0.250
Cr 0.375 0.625 0.250
S 0.592 0.864 0.728
S 0.136 0.865 0.728
S 0.135 0.864 0.272
S 0.136 0.408 0.272
S 0.158 0.386 0.772
S 0.614 0.842 0.228
S 0.615 0.386 0.228
S 0.614 0.385 0.772
```

Calculated values
Magnetization, μB/f.u.: 4.996
Energy relative to the elements, uncorrected, eV/atom: -0.798
E, eV/atom: -6.18
Space-group type: I4_1/amd (141)


Li2CrS3: relaxed, PBE-GGA. Values from VASP.

Structure (Quantum ESPRESSO input):
```
&SYSTEM
  ibrav = 0, nat = 24, ntyp = 3
/
ATOMIC_SPECIES
Li 6.94 Li.upf
Cr 52.00 Cr.upf
S 32.06 S.upf
CELL_PARAMETERS angstrom
5.282 3.055 0.000
-5.282 3.055 0.000
0.000 2.084 11.812
ATOMIC_POSITIONS crystal
Li 0.157 0.312 0.500
Li 0.000 0.500 0.000
Li 0.084 0.916 0.750
Li 0.500 0.000 0.500
Li 0.688 0.843 0.000
Li 0.312 0.157 0.000
Li 0.916 0.084 0.250
Li 0.843 0.688 0.500
Cr 0.251 0.749 0.250
Cr 0.416 0.584 0.750
Cr 0.584 0.416 0.250
Cr 0.749 0.251 0.750
S 0.045 0.236 0.865
S 0.317 0.485 0.136
S 0.123 0.590 0.636
S 0.515 0.683 0.364
S 0.236 0.045 0.365
S 0.590 0.123 0.136
S 0.410 0.877 0.864
S 0.764 0.955 0.635
S 0.485 0.317 0.636
S 0.877 0.410 0.364
S 0.683 0.515 0.864
S 0.955 0.764 0.135
```

Calculated values
Magnetization, μB/f.u.: 2.002
Energy relative to the elements, uncorrected, eV/atom: -0.928
E, eV/atom: -5.23
Space-group type: C2/c (15)


LiCrS2: relaxed, PBE-GGA. Values from VASP.

Structure (Quantum ESPRESSO input):
```
&SYSTEM
  ibrav = 0, nat = 8, ntyp = 3
/
ATOMIC_SPECIES
Cr 52.00 Cr.upf
S 32.06 S.upf
Li 6.94 Li.upf
CELL_PARAMETERS angstrom
5.666 0.000 0.000
0.000 5.666 0.000
2.833 2.833 5.026
ATOMIC_POSITIONS crystal
Cr 0.000 0.000 0.000
Cr 0.750 0.250 0.500
S 0.655 0.125 0.250
S 0.095 0.625 0.250
S 0.375 0.345 0.750
S 0.875 0.905 0.750
Li 0.500 0.500 0.000
Li 0.250 0.750 0.500
```

Calculated values
Magnetization, μB/f.u.: 3.000
Energy relative to the elements, uncorrected, eV/atom: -0.797
E, eV/atom: -5.74
Space-group type: I-42d (122)


Li3Cr4S8: relaxed, PBE-GGA. Values from VASP.

Structure (Quantum ESPRESSO input):
```
&SYSTEM
  ibrav = 0, nat = 15, ntyp = 3
/
ATOMIC_SPECIES
Li 6.94 Li.upf
Cr 52.00 Cr.upf
S 32.06 S.upf
CELL_PARAMETERS angstrom
-2.650 7.076 0.947
-6.373 1.893 3.713
-0.334 3.768 6.609
ATOMIC_POSITIONS crystal
Li 0.137 0.643 0.643
Li 0.643 0.137 0.643
Li 0.643 0.643 0.137
Cr 0.999 0.999 0.999
Cr 0.487 0.006 0.487
Cr 0.006 0.487 0.487
Cr 0.487 0.487 0.006
S 0.731 0.731 0.731
S 0.234 0.234 0.730
S 0.766 0.262 0.766
S 0.262 0.766 0.766
S 0.234 0.730 0.234
S 0.730 0.234 0.234
S 0.766 0.766 0.262
S 0.258 0.258 0.258
```

Calculated values
Magnetization, μB/f.u.: 10.994
Energy relative to the elements, uncorrected, eV/atom: -0.878
E, eV/atom: -6.03
Space-group type: R3m (160)


| no. | DOS(E_F) (states/eV per cell) |
| --- | --- |
| 1 | 15.81 |
| 2 | 2.41 |
| 3 | 14.39 |
| 4 | 8.15 |
| 5 | 8.44 |
| 6 | 10.11 |
| 7 | 4.09 |
| 8 | 9.09 |